[1]
Computed, not measured: La5Pm3Sb8 after structural relaxation at the PBE-GGA level of DFT.

Results
As for the space group: R-3m, No. 166. As for the density of states at the Fermi level: 0.178 states/eV/atom. The calculated volume comes out at 33.89 A^3/atom. For the final energy, the calculation gives -91.73 eV per cell.

Cell lengths 9.151, 9.151, 9.151 Å; angles 60.02, 60.02, 60.02 degrees
Positions (direct):
La (0.000, 0.000, 0.000)
La (0.000, 0.500, 0.500)
La (0.500, 0.000, 0.500)
La (0.500, 0.500, 0.000)
La (0.500, 0.500, 0.500)
Pm (0.000, 0.000, 0.500)
Pm (0.000, 0.500, 0.000)
Pm (0.500, 0.000, 0.000)
Sb (0.246, 0.750, 0.750)
Sb (0.248, 0.248, 0.248)
Sb (0.250, 0.250, 0.754)
Sb (0.250, 0.754, 0.250)
Sb (0.750, 0.246, 0.750)
Sb (0.750, 0.750, 0.246)
Sb (0.752, 0.752, 0.752)
Sb (0.754, 0.250, 0.250)

=====

[2]
Computed, not measured: BaLiMg2Zn after structural relaxation at the PBE-GGA level of DFT.

Results
As for the space group: P4/mmm, No. 123. The calculated formation energy is 0.24 eV/f.u. As for the density of states at the Fermi level: 0.841 states/eV/atom. The calculated volume comes out at 27.60 A^3/atom. For the final energy, the calculation gives -8.06 eV per cell.

Cell lengths 5.203, 5.203, 5.097 Å; angles 90.00, 90.00, 90.00 degrees
Positions (direct):
Ba (0.000, 0.000, 0.000)
Li (0.500, 0.500, 0.500)
Mg (0.000, 0.500, 0.500)
Mg (0.500, 0.000, 0.500)
Zn (0.500, 0.500, 0.000)

=====

[3]
Computed, not measured: Sm2FeC after structural relaxation at the PBE-GGA level of DFT.

Results
As for the space group: Immm, No. 71. The calculated formation energy is -0.54 eV/f.u. As for the density of states at the Fermi level: 0.892 states/eV/atom. The calculated volume comes out at 22.33 A^3/atom. For the final energy, the calculation gives -27.66 eV per cell.

Cell lengths 7.166, 7.166, 7.166 Å; angles 150.68, 150.20, 42.29 degrees
Positions (direct):
Sm (0.128, 0.128, 0.000)
Sm (0.872, 0.872, 0.000)
Fe (0.500, 0.500, 0.000)
C (0.000, 0.500, 0.500)